Material: V3P6O20
Method: DFT, PBE with a Hubbard U
State: relaxed

Summary:
Crystal system: orthorhombic
Space group: Aea2 (41)
Energy relative to the lowest polymorph listed for this composition: 0.270 eV per formula unit

The structure in POSCAR format:
```
V3P6O20
1.0
8.5600 -0.0349 0.0000
-2.5690 8.1654 0.0000
0.0000 0.0000 12.6960
O P V
40 12 6
Direct
0.7223 0.0848 0.8118
0.5688 0.8395 0.9174
0.7914 0.2696 0.1376
0.3358 0.0245 0.2178
0.5848 0.2223 0.3118
0.8395 0.5688 0.0826
0.2729 0.1998 0.8862
0.5574 0.8448 0.2255
0.5465 0.3186 0.7993
0.7938 0.8250 0.7985
0.8590 0.0618 0.5594
0.6998 0.7729 0.3862
0.7696 0.2914 0.6376
0.2938 0.3250 0.7015
0.5245 0.8358 0.7178
0.7729 0.6998 0.6138
0.3250 0.2938 0.2985
0.0245 0.3358 0.7822
0.3395 0.0688 0.4174
0.0618 0.8590 0.4406
0.5618 0.3590 0.0594
0.0574 0.3448 0.2745
0.0465 0.8186 0.7007
0.0688 0.3395 0.5826
0.2914 0.7696 0.3624
0.3590 0.5618 0.9406
0.3186 0.5465 0.2007
0.8186 0.0465 0.2993
0.8086 0.3518 0.9465
0.8250 0.7938 0.2015
0.1998 0.2729 0.1138
0.8448 0.5574 0.7745
0.2223 0.5848 0.6882
0.3448 0.0574 0.7255
0.8358 0.5245 0.2822
0.8518 0.3086 0.4465
0.2696 0.7914 0.8624
0.3518 0.8086 0.0535
0.0848 0.7223 0.1882
0.3086 0.8518 0.5535
0.4015 0.1471 0.3047
0.3764 0.7456 0.9459
0.7190 0.8690 0.2819
0.2456 0.8764 0.4459
0.1471 0.4015 0.6953
0.8690 0.7190 0.7181
0.8764 0.2456 0.5541
0.9015 0.6471 0.1953
0.7456 0.3764 0.0541
0.2190 0.3690 0.2181
0.3690 0.2190 0.7819
0.6471 0.9015 0.8047
0.8225 0.2835 0.2918
0.3548 0.3548 0.0000
0.8548 0.8548 0.5000
0.7835 0.3225 0.7918
0.2835 0.8225 0.7082
0.3225 0.7835 0.2082
```